Entry 1:
Computed, not measured: a PBEsol-optimized structure of Sr2CaGa2 at the meta-GGA SCAN level of DFT.

The formation energy comes out at -348 meV/atom. The value obtained for the total magnetic moment is 0.114 Bohr magnetons per cell. The symmetry is P4/mbm (127).

a b c (Å): 4.239 8.566 8.566
angles (deg): 90.00 90.00 90.00
Element x y z (fractional)
Sr 0.500 0.824 0.324
Sr 0.500 0.176 0.676
Sr 0.500 0.676 0.824
Sr 0.500 0.324 0.176
Ca 0.000 0.000 0.000
Ca 0.000 0.500 0.500
Ga 0.000 0.115 0.385
Ga 0.000 0.885 0.615
Ga 0.000 0.385 0.885
Ga 0.000 0.615 0.115


Entry 2:
Computed, not measured: a PBEsol-optimized structure of Sr2CaGa2 at the meta-GGA SCAN level of DFT.

The formation energy comes out at -54 meV/atom. The value obtained for the total magnetic moment is 0.389 Bohr magnetons per cell. The symmetry is I4/mmm (139).

a b c (Å): 3.838 3.838 12.058
angles (deg): 99.16 99.16 90.00
Element x y z (fractional)
Ca 0.000 0.000 0.000
Ga 0.250 0.750 0.500
Ga 0.750 0.250 0.500
Sr 0.367 0.367 0.733
Sr 0.633 0.633 0.267


Entry 3:
Computed, not measured: a PBEsol-optimized structure of Ca2TaGaW at the meta-GGA SCAN level of DFT.

The formation energy comes out at 1980 meV/atom. The value obtained for the total magnetic moment is 2.466 Bohr magnetons per cell. The symmetry is P4/mmm (123).

a b c (Å): 4.932 5.401 5.401
angles (deg): 90.00 90.00 90.00
Last column: magnetic moment on the atom in μB.
Element x y z (fractional)
Ga 0.500 0.000 0.000  -0.04
Ca 0.000 0.500 0.000  -0.10
Ca 0.000 0.000 0.500  -0.10
Ta 0.000 0.000 0.000  -1.21
W 0.500 0.500 0.500  3.17


Entry 4:
Computed, not measured: a PBEsol-optimized structure of CaGa2Tc at the meta-GGA SCAN level of DFT.

The formation energy comes out at -39 meV/atom. The value obtained for the total magnetic moment is 0.001 Bohr magnetons per cell. The symmetry is Fm-3m (225).

a b c (Å): 4.565 4.565 4.565
angles (deg): 60.00 60.00 60.00
Element x y z (fractional)
Ga 0.750 0.750 0.750
Ga 0.250 0.250 0.250
Tc 0.500 0.500 0.500
Ca 0.000 0.000 0.000


Entry 5:
Computed, not measured: a PBEsol-optimized structure of CaGa6Te10 at the meta-GGA SCAN level of DFT.

The value obtained for the total magnetic moment is 0.000 Bohr magnetons per cell. The value obtained for the electronic total energy is -28.75 eV/atom. The symmetry is C2 (5).

a b c (Å): 10.150 10.177 10.177
angles (deg): 90.45 90.12 89.88
Element x y z (fractional)
Te 0.563 0.505 0.930
Te 0.068 0.920 0.682
Te 0.679 0.008 0.820
Te 0.321 0.820 0.008
Te 0.500 0.171 0.171
Te 0.437 0.930 0.505
Te 0.838 0.426 0.254
Te 0.166 0.423 0.084
Te 0.568 0.324 0.585
Te 0.330 0.188 0.823
Te 0.670 0.823 0.188
Te 0.834 0.084 0.423
Te 0.432 0.585 0.324
Te 0.739 0.696 0.581
Te 0.916 0.344 0.746
Te 0.084 0.746 0.344
Te 0.162 0.254 0.426
Te 0.261 0.581 0.696
Te 0.000 0.085 0.085
Te 0.932 0.682 0.920
Ga 0.665 0.509 0.427
Ga 0.840 0.823 0.387
Ga 0.123 0.682 0.098
Ga 0.425 0.418 0.127
Ga 0.877 0.098 0.682
Ga 0.335 0.427 0.509
Ga 0.170 0.001 0.908
Ga 0.253 0.085 0.594
Ga 0.747 0.594 0.085
Ga 0.830 0.908 0.001
Ga 0.160 0.387 0.823
Ga 0.575 0.127 0.418
Ca 0.253 0.995 0.260
Ca 0.747 0.260 0.995


Entry 6:
Computed, not measured: a PBEsol-optimized structure of CaGaTe2 at the meta-GGA SCAN level of DFT.

The value obtained for the total magnetic moment is 0.001 Bohr magnetons per cell. The value obtained for the electronic total energy is -25.88 eV/atom. The symmetry is I-42d (122).

a b c (Å): 6.576 6.576 8.432
angles (deg): 112.95 112.95 90.00
Element x y z (fractional)
Ga 0.250 0.750 0.500
Ga 0.000 0.000 0.000
Te 0.125 0.087 0.750
Te 0.625 0.663 0.750
Te 0.913 0.375 0.250
Te 0.337 0.875 0.250
Ca 0.750 0.250 0.500
Ca 0.500 0.500 0.000